A relaxed CrCOF2 crystal, computed with PBE with a Hubbard U.

Computed properties:
As for the space-group type: No. 123. The value obtained for the excess energy over the best structure of this formula in the dataset is 0.77 eV per formula unit. As for the density of states at the Fermi level: 2.2 states/eV/f.u.

Cell lengths 3.8728, 3.8728, 3.4831 Å; angles 90.00, 90.00, 90.00 degrees
With the nearest neighbours (Å) after each atom.
Atoms (fractional coordinates):
1 Cr 0.5000 0.5000 0.5000  8 F 2.60, 4 O 2.74
2 C 0.0000 0.0000 0.0000  2 O 1.74, 4 F 1.94
3 O 0.0000 0.0000 0.5000  2 C 1.74
4 F 0.0000 0.5000 0.0000  2 C 1.94
5 F 0.5000 0.0000 0.0000  2 C 1.94